(1)
AlInO2 | PBE | relaxed

a = 5.866 Å, b = 5.866 Å, c = 5.866 Å
α = 90.00°, β = 90.00°, γ = 90.00°
Space group Fm-3m (No. 225)
One atom of each set of equivalent atoms:
Al  0.000  0.000  0.000 x4
In  0.000  0.000  0.500 x4
O  0.250  0.250  0.250 x8

Properties
* theoretical density: 5.720 Mg/m³
* total energy: -72.90 eV/cell
* energy relative to the elements, uncorrected: -1.828 eV per formula unit

---

(2)
AlInO | PBE | relaxed

a = 2.9428 Å, b = 2.9428 Å, c = 12.4715 Å
α = 90.00°, β = 90.00°, γ = 120.00°
Space group P-6m2 (No. 187)
One atom of each set of equivalent atoms:
Al  0.0000  0.0000  0.0000 x1
Al  0.3333  0.6667  0.5000 x1
In  0.0000  0.0000  0.2716 x2
O  0.3333  0.6667  0.0903 x2

Properties
* theoretical density: 5.603 Mg/m³
* total energy: -28.66 eV/cell
* energy relative to the elements, uncorrected: -2.893 eV per formula unit

---

(3)
AlInO3 | PBE | relaxed

a = 3.2860 Å, b = 3.2860 Å, c = 12.0301 Å
α = 90.00°, β = 90.00°, γ = 120.00°
Space group P6_3/mmc (No. 194)
One atom of each set of equivalent atoms:
Al  0.3333  0.6667  0.2500 x2
In  0.0000  0.0000  0.0000 x2
O  0.0000  0.0000  0.2500 x2
O  0.3333  0.6667  0.0921 x4

Properties
* theoretical density: 5.603 Mg/m³
* total energy: -65.32 eV/cell
* energy relative to the elements, uncorrected: -11.306 eV per formula unit